# ZrCoTe3 (PBE, optimized geometry)
# Distance to the lowest polymorph of the same formula = 301 meV/atom
# Crystal system = cubic
# DOS at the Fermi energy = 11.49 states/eV/cell
# Formation energy (no corrections) = 0.556 eV per atom
data_ZrCoTe3
_cell_length_a 5.5829
_cell_length_b 5.5829
_cell_length_c 5.5829
_cell_angle_alpha 90.00
_cell_angle_beta 90.00
_cell_angle_gamma 90.00
_symmetry_space_group_name_H-M 'P m -3 m'
_symmetry_Int_Tables_number 221
_symmetry_space_group_name_Hall '-P 4 2 3'
loop_
_atom_site_label
_atom_site_type_symbol
_atom_site_fract_x
_atom_site_fract_y
_atom_site_fract_z
Zr1 Zr 0.0000 0.0000 0.0000
Co1 Co 0.5000 0.5000 0.5000
Te1 Te 0.0000 0.0000 0.5000